Below is a relaxed structure of VRe2Mo2, with properties calculated at the PBE-GGA level.

Unit cell a=5.0575 b=12.8694 c=4.6813 alpha=90.00 beta=90.00 gamma=90.00
Last column: nearest neighbours and their distance in Å.
Space group Ibam (No. 72)
Asymmetric unit:
V 0.0000 0.0000 0.2500 x4  2 V 2.34, 4 Mo 2.58
Re 0.1430 0.1985 0.0000 x8  4 Mo 2.65-2.96, 6 Re 2.75-2.90, 2 V 2.90
Mo 0.1148 0.4044 0.0000 x8  2 V 2.58, 3 Mo 2.61-2.72, 2 Re 2.65-2.73

Its energy above the lowest structure with this stoichiometry is 384 meV per atom. As for the energy of formation: 0.301 eV per atom.

Below is a relaxed structure of Y2Mg, with properties calculated at the PBE-GGA level.

Unit cell a=7.4266 b=7.4266 c=7.4266 alpha=90.00 beta=90.00 gamma=90.00
Last column: nearest neighbours and their distance in Å.
Space group Fm-3m (No. 225)
Asymmetric unit:
Y 0.2500 0.2500 0.2500 x8  4 Mg 3.22
Mg 0.0000 0.0000 0.0000 x4  8 Y 3.22

As for the energy of formation: 0.396 eV per atom.

Below is a relaxed structure of Hg2SbRu, with properties calculated at the PBE-GGA level.

Unit cell a=3.1665 b=3.1665 c=9.1734 alpha=90.00 beta=90.00 gamma=90.00
Last column: nearest neighbours and their distance in Å.
Space group P4mm (No. 99)
Asymmetric unit:
Hg 0.0000 0.0000 0.0000 x1  4 Hg 3.17
Hg 0.5000 0.5000 0.3037 x1  4 Ru 2.92, 4 Hg 3.17
Sb 0.5000 0.5000 0.6762 x1  4 Ru 2.72
Ru 0.0000 0.0000 0.5087 x1  4 Sb 2.72, 4 Hg 2.92

The formation energy without anion corrections comes out at 0.120 eV/atom.

Below is a relaxed structure of Ga4PdPt2, with properties calculated at the PBE-GGA level.

Unit cell a=6.7083 b=4.9118 c=7.7749 alpha=90.00 beta=114.18 gamma=90.00
Last column: nearest neighbours and their distance in Å.
Space group P2_1/m (No. 11)
Asymmetric unit:
Ga 0.1278 0.0052 0.2080 x4  2 Ga 2.40-2.51, 1 Pd 2.56, 3 Pt 2.60-2.66
Ga 0.1337 0.2500 0.5504 x2  1 Pd 2.51, 3 Pt 2.61-2.68
Ga 0.3220 0.7500 0.8626 x2  4 Pt 2.50-2.68, 1 Pd 2.60
Pd 0.4696 0.7500 0.2284 x2  4 Ga 2.51-2.60
Pt 0.2467 0.2500 0.9601 x2  7 Ga 2.63-2.68, 1 Pd 2.84
Pt 0.2833 0.7500 0.5290 x2  6 Ga 2.50-2.68

As for the energy of formation: -0.437 eV per atom.

Below is a relaxed structure of CrRe2Cl, with properties calculated at the PBE-GGA level.

Unit cell a=2.7987 b=2.7987 c=28.8422 alpha=90.00 beta=90.00 gamma=120.00
Last column: nearest neighbours and their distance in Å.
Space group R3m (No. 160, hexagonal axes)
Asymmetric unit:
Cr 0.0000 0.0000 0.0000 x3  3 Cl 2.28
Re 0.0000 0.0000 0.2563 x3  9 Re 2.67-2.80, 3 Cr 2.75
Re 0.0000 0.0000 0.5162 x3  9 Re 2.67-2.80
Cl 0.0000 0.0000 0.7223 x3  3 Cr 2.28

Its energy above the lowest structure with this stoichiometry is 0 meV per atom. The formation energy without anion corrections comes out at 0.265 eV/atom.

Below is a relaxed structure of Be3BiAs, with properties calculated at the PBE-GGA level.

Unit cell a=4.4242 b=4.4242 c=4.4242 alpha=90.00 beta=90.00 gamma=90.00
Last column: nearest neighbours and their distance in Å.
Space group Pm-3m (No. 221)
Asymmetric unit:
Be 0.0000 0.0000 0.5000 x3  2 As 2.21
Bi 0.5000 0.5000 0.5000 x1  12 Be 3.13
As 0.0000 0.0000 0.0000 x1  6 Be 2.21

Its energy above the lowest structure with this stoichiometry is 0 meV per atom. As for the energy of formation: 0.700 eV per atom.

Below is a relaxed structure of Be3In, with properties calculated at the PBE-GGA level.

Unit cell a=11.0017 b=3.5725 c=5.8592 alpha=90.00 beta=113.87 gamma=90.00
Last column: nearest neighbours and their distance in Å.
Space group Cm (No. 8)
Asymmetric unit:
Be 0.0000 0.0000 0.0000 x2  1 Be 1.96
Be 0.0421 0.5000 0.7844 x2  8 Be 2.13-2.34
Be 0.1548 0.0000 0.8302 x2  6 Be 2.13-2.29
Be 0.2407 0.5000 0.7490 x2  6 Be 2.15-2.28
Be 0.3589 0.0000 0.8321 x2  8 Be 2.14-2.34
Be 0.4136 0.5000 0.6336 x2  1 Be 1.96
In 0.2158 0.5000 0.2287 x2  2 Be 2.49-2.53
In 0.4713 0.0000 0.3273 x2  4 Be 2.47-2.73

Its energy above the lowest structure with this stoichiometry is 36 meV per atom. As for the energy of formation: 0.268 eV per atom.

Below is a relaxed structure of LaBe13, with properties calculated at the PBE-GGA level.

Unit cell a=10.3830 b=10.3830 c=10.3830 alpha=90.00 beta=90.00 gamma=90.00
Last column: nearest neighbours and their distance in Å.
Space group Fm-3c (No. 226)
Asymmetric unit:
La 0.2500 0.2500 0.2500 x8  24 Be 3.06
Be 0.0000 0.0000 0.0000 x8  12 Be 2.16
Be 0.0000 0.1119 0.1754 x96  10 Be 2.16-2.32

As for the energy of formation: -0.148 eV per atom.